This record from the Alexandria database describes BaTh2TeO8 after structural relaxation. The functional is PBE-GGA.

Summary:
SG: P2/m, No. 10
E_tot (eV per atom): -7.59
Raw formation energy (meV per atom): -2629

Unit cell a=5.224 b=7.398 c=5.225 alpha=90.00 beta=91.76 gamma=90.00
Atoms (fractional coordinates):
Ba 0.000 0.000 0.000
Th 0.500 0.255 0.500
Th 0.500 0.745 0.500
Te 0.000 0.500 0.000
O 0.188 0.311 0.189
O 0.188 0.689 0.189
O 0.269 0.500 0.732
O 0.335 0.000 0.667
O 0.665 0.000 0.333
O 0.731 0.500 0.268
O 0.812 0.311 0.811
O 0.812 0.689 0.811

***

This record from the Alexandria database describes TaTcIr2 after structural relaxation. The functional is PBE-GGA.

Summary:
Distance to the lowest polymorph of the same formula (meV per atom): 346
Formation energy (eV per atom): -0.16
SG: R-3m, No. 166
E_tot (eV per atom): -10.15

Unit cell a=2.793 b=2.793 c=27.278 alpha=90.00 beta=90.00 gamma=120.00
Atoms (fractional coordinates):
Ta 0.000 0.000 0.000
Ta 0.333 0.667 0.667
Ta 0.667 0.333 0.333
Tc 0.000 0.000 0.500
Tc 0.333 0.667 0.167
Tc 0.667 0.333 0.833
Ir 0.000 0.000 0.247
Ir 0.000 0.000 0.753
Ir 0.333 0.667 0.419
Ir 0.333 0.667 0.914
Ir 0.667 0.333 0.086
Ir 0.667 0.333 0.581

***

This record from the Alexandria database describes Tl2CdP2Pt7 after structural relaxation. The functional is PBE-GGA.

Summary:
Formation energy (eV per atom): -0.32
SG: C2/m, No. 12
E_tot (eV per atom): -5.21

Unit cell a=4.000 b=4.000 c=14.122 alpha=93.79 beta=93.79 gamma=90.02
Atoms (fractional coordinates):
Tl 0.083 0.083 0.397
Tl 0.917 0.917 0.603
Cd 0.000 0.000 0.000
P 0.444 0.444 0.759
P 0.556 0.556 0.241
Pt 0.036 0.535 0.153
Pt 0.425 0.425 0.595
Pt 0.465 0.964 0.847
Pt 0.500 0.500 0.000
Pt 0.535 0.036 0.153
Pt 0.575 0.575 0.405
Pt 0.964 0.465 0.847

***

This record from the Alexandria database describes SrTbCd2 after structural relaxation. The functional is PBE-GGA.

Summary:
Formation energy (eV per atom): -0.32
SG: P4/mmm, No. 123
E_tot (eV per atom): -2.35

Unit cell a=3.903 b=3.903 c=7.790 alpha=90.00 beta=90.00 gamma=90.00
Atoms (fractional coordinates):
Sr 0.000 0.000 0.000
Tb 0.000 0.000 0.500
Cd 0.500 0.500 0.282
Cd 0.500 0.500 0.718